20
Lattice="5.3872 -7.4394 0.0000 5.3872 7.4394 0.0000 -5.3616 0.0000 8.4843" Properties=species:S:1:pos:R:3 comment="Tb2Pm5Y3 PBE-GGA relaxed" ef_mev_per_atom=187.2 mass_density_g_cm3=6.40 m_tot_mub_per_cell=0.0 final_energy_ev_per_atom=-5.05 space_group="C2/c, No. 15" pbc="T T T"
Tb 1.2998 1.8726 0.4916
Tb -1.3810 -1.8726 4.7338
Tb 6.7937 1.8726 3.7505
Tb 4.1129 -1.8726 7.9927
Pm 1.3660 7.2068 6.3633
Pm -1.3089 1.9002 6.5139
Pm 1.3660 4.0638 6.3633
Pm 1.3719 -1.9002 2.2717
Pm 4.0468 0.3534 2.1211
Pm 1.3660 -0.3534 6.3633
Pm 4.0408 1.9002 6.2126
Pm 4.0468 -4.0638 2.1211
Pm 6.7216 -1.9002 1.9704
Pm 4.0468 -7.2068 2.1211
Y 1.3067 1.8478 3.7810
Y 4.0468 3.4141 2.1211
Y -1.3741 -1.8478 8.0232
Y 6.7868 1.8478 0.4612
Y 1.3660 -3.4141 6.3633
Y 4.1060 -1.8478 4.7033

16
Lattice="11.5044 0.0000 0.0000 0.0000 7.3334 0.0000 0.0000 0.0000 6.3280" Properties=species:S:1:pos:R:3 comment="Tb4Pm3Y PBE-GGA relaxed" ef_mev_per_atom=20.4 de_polymorph_mev_per_atom=0 mass_density_g_cm3=7.21 m_tot_mub_per_cell=0.0 final_energy_ev_per_atom=-4.88 space_group="Pmn2_1, No. 31" pbc="T T T"
Tb 0.0000 0.8948 6.3250
Tb 0.0000 6.4241 3.1640
Tb 2.8633 0.9022 2.1014
Tb 2.8889 6.4312 5.2654
Tb 5.7522 0.9092 0.0000
Tb 5.7522 6.4386 3.1610
Tb 8.6155 6.4312 5.2654
Tb 8.6411 0.9022 2.1014
Pm 0.0000 4.5994 6.3272
Pm 2.8711 2.7403 5.2794
Pm 2.8811 4.5931 2.1154
Pm 5.7522 2.7339 3.1632
Pm 8.6334 2.7403 5.2794
Pm 8.6233 4.5931 2.1154
Y 0.0000 2.7313 3.1562
Y 5.7522 4.6021 6.3202

11
Lattice="3.0972 -5.3770 0.0000 3.0972 5.3770 0.0000 -2.1034 0.0000 11.4690" Properties=species:S:1:pos:R:3 comment="Tb2Pm3Y6 PBE-GGA relaxed" ef_mev_per_atom=199.3 de_polymorph_mev_per_atom=183 mass_density_g_cm3=5.59 m_tot_mub_per_cell=0.1 final_energy_ev_per_atom=-5.46 space_group="C2/m, No. 12" pbc="T T T"
Tb 3.0972 3.5894 0.0000
Tb 3.0972 -3.5894 0.0000
Pm -1.0517 0.0000 5.7345
Pm 2.0455 1.7672 5.7345
Pm 2.0455 -1.7672 5.7345
Y -0.0256 1.7885 8.6410
Y 1.0250 0.0000 2.8323
Y -0.0256 -1.7885 8.6410
Y 4.1166 1.7885 2.8281
Y 3.0659 0.0000 8.6368
Y 4.1166 -1.7885 2.8281

14
Lattice="-4.8458 4.8458 5.1413 4.8458 -4.8458 5.1413 4.8458 4.8458 -5.1413" Properties=species:S:1:pos:R:3 comment="Tb5Pm8Y PBE-GGA relaxed" ef_mev_per_atom=247.9 mass_density_g_cm3=7.03 m_tot_mub_per_cell=0.0 final_energy_ev_per_atom=-4.58 space_group="I-4, No. 82" pbc="T T T"
Tb 0.0000 0.0000 0.0000
Tb 2.0049 -1.0489 4.3866
Tb 3.7969 2.8409 0.7546
Tb 2.8409 5.8947 -0.7546
Tb 1.0489 2.0049 5.8959
Pm 3.1566 -0.6771 0.9966
Pm 4.0023 3.1270 -2.6106
Pm 6.5350 0.6771 0.9966
Pm 5.5229 -1.6892 4.1447
Pm 0.8435 1.7188 2.5307
Pm 4.1687 1.6892 4.1447
Pm 1.7188 -0.8435 7.7518
Pm 3.1270 5.6893 2.6106
Y 0.0000 4.8458 2.5706

10
Lattice="6.3069 0.0000 0.0000 -3.1514 5.9859 0.0000 -0.0072 -3.2060 8.6825" Properties=species:S:1:pos:R:3 comment="Tb5PmY4 PBE-GGA relaxed" ef_mev_per_atom=9.0 de_polymorph_mev_per_atom=0 mass_density_g_cm3=6.56 m_tot_mub_per_cell=0.0 final_energy_ev_per_atom=-5.37 space_group="P1, No. 1" pbc="T T T"
Tb 0.0000 0.0000 0.0000
Tb -2.1420 3.8401 2.6068
Tb -0.0253 2.2392 6.9398
Tb 4.1814 -1.5908 4.3336
Tb 3.1118 1.6752 5.2098
Pm 1.0345 -1.0446 6.0647
Y -0.0391 1.1359 3.4582
Y 1.0329 3.2874 0.8640
Y 3.1347 0.5613 1.7370
Y 4.1963 -0.4849 7.8248

11
Lattice="-2.9356 5.6073 5.6270 2.9356 -5.6073 5.6270 2.9356 5.6073 -5.6270" Properties=species:S:1:pos:R:3 comment="Tb7Pm3Y PBE-GGA relaxed" ef_mev_per_atom=257.5 de_polymorph_mev_per_atom=121 mass_density_g_cm3=7.33 m_tot_mub_per_cell=0.3 final_energy_ev_per_atom=-4.57 space_group="Immm, No. 71" pbc="T T T"
Tb 0.0000 0.0000 0.0000
Tb 2.9356 -2.3010 3.4040
Tb 2.9356 3.3066 0.0000
Tb 0.0000 3.3062 2.2230
Tb 2.9356 2.3010 3.4040
Tb 0.0000 2.3007 5.6270
Tb 0.0000 7.9083 2.2230
Pm 0.0000 0.0000 3.2425
Pm 0.0000 5.6073 0.0000
Pm 0.0000 0.0000 8.0115
Y 2.9356 0.0000 0.0000

20
Lattice="5.4027 -8.0863 0.0000 5.4027 8.0863 0.0000 -5.3993 0.0000 7.6670" Properties=species:S:1:pos:R:3 comment="Tb2Pm3Y5 PBE-GGA relaxed" ef_mev_per_atom=183.9 de_polymorph_mev_per_atom=0 mass_density_g_cm3=5.94 m_tot_mub_per_cell=0.0 final_energy_ev_per_atom=-5.40 space_group="C2/c, No. 15" pbc="T T T"
Tb 1.3664 1.9833 0.3451
Tb -1.3332 -1.9833 4.1786
Tb 6.7394 1.9833 3.4884
Tb 4.0397 -1.9833 7.3219
Pm 1.3712 2.0245 3.4638
Pm 4.0529 3.6970 1.9168
Pm -1.3285 -2.0245 7.2973
Pm 6.7346 2.0245 0.3697
Pm 1.3533 -3.6970 5.7503
Pm 4.0350 -2.0245 4.2032
Y 1.3533 7.6583 5.7503
Y -1.3480 1.9489 5.6864
Y 1.3533 4.4261 5.7503
Y 1.3517 -1.9489 1.8529
Y 4.0529 0.3955 1.9168
Y 1.3533 -0.3955 5.7503
Y 4.0545 1.9489 5.8141
Y 4.0529 -4.4261 1.9168
Y 6.7541 -1.9489 1.9806
Y 4.0529 -7.6583 1.9168

4
Lattice="0.0000 4.0441 4.0441 4.0441 0.0000 4.0441 4.0441 4.0441 0.0000" Properties=species:S:1:pos:R:3 comment="Tb2PmY PBE-GGA relaxed" ef_mev_per_atom=140.7 de_polymorph_mev_per_atom=127 mass_density_g_cm3=6.93 m_tot_mub_per_cell=0.0 final_energy_ev_per_atom=-4.98 space_group="Fm-3m, No. 225" pbc="T T T"
Tb 2.0221 2.0221 2.0221
Tb 6.0662 6.0662 6.0662
Pm 0.0000 0.0000 0.0000
Y 4.0441 4.0441 4.0441

20
Lattice="5.3470 -7.9529 0.0000 5.3470 7.9529 0.0000 -5.2717 0.0000 7.8705" Properties=species:S:1:pos:R:3 comment="Tb5Pm2Y3 PBE-GGA relaxed" ef_mev_per_atom=197.3 mass_density_g_cm3=6.70 m_tot_mub_per_cell=0.0 final_energy_ev_per_atom=-5.01 space_group="C2/c, No. 15" pbc="T T T"
Tb 1.3932 7.4936 5.9029
Tb -1.3071 1.9480 5.6104
Tb 1.3932 4.3590 5.9029
Tb 4.0291 3.6462 1.9676
Tb 1.3288 -1.9480 1.6752
Tb 4.0935 1.9480 6.1954
Tb 1.3932 -3.6462 5.9029
Tb 4.0291 -4.3590 1.9676
Tb 6.7294 -1.9480 2.2601
Tb 4.0291 -7.4936 1.9676
Pm 1.4512 2.0466 3.5486
Pm -1.1846 -2.0466 7.4839
Pm 6.6069 2.0466 0.3867
Pm 3.9711 -2.0466 4.3219
Y 1.4474 1.9397 0.3619
Y -1.1884 -1.9397 4.2972
Y 4.0291 0.3101 1.9676
Y 1.3932 -0.3101 5.9029
Y 6.6107 1.9397 3.5733
Y 3.9749 -1.9397 7.5086

13
Lattice="3.7055 2.1393 9.0848 -3.7055 2.1393 9.0848 0.0000 -4.2787 9.0848" Properties=species:S:1:pos:R:3 comment="Tb8Pm4Y PBE-GGA relaxed" ef_mev_per_atom=205.2 mass_density_g_cm3=7.46 m_tot_mub_per_cell=0.0 final_energy_ev_per_atom=-4.60 space_group="R-3m, No. 166" pbc="T T T"
Tb -2.0736 -1.1972 15.3650
Tb 0.0000 0.0000 5.9113
Tb 0.0000 -2.3944 11.8894
Tb -2.0736 1.1972 11.8894
Tb 2.0736 -1.1972 15.3650
Tb 0.0000 2.3944 15.3650
Tb 0.0000 0.0000 21.3431
Tb 2.0736 1.1972 11.8894
Pm 0.0000 0.0000 0.0000
Pm -1.8527 -1.0697 9.0848
Pm -1.8527 1.0697 18.1696
Pm 0.0000 2.1393 9.0848
Y 0.0000 0.0000 13.6272

7
Lattice="8.8132 -1.7678 0.0000 8.8132 1.7678 0.0000 -4.1531 0.0000 7.5292" Properties=species:S:1:pos:R:3 comment="Tb2Pm3Y2 PBE-GGA relaxed" ef_mev_per_atom=105.4 de_polymorph_mev_per_atom=90 mass_density_g_cm3=6.59 m_tot_mub_per_cell=0.0 final_energy_ev_per_atom=-5.10 space_group="C2/m, No. 12" pbc="T T T"
Tb -0.5562 0.0000 3.0842
Tb 14.0295 0.0000 4.4450
Pm 2.1629 0.0000 5.2690
Pm 8.8132 0.0000 0.0000
Pm 11.3104 0.0000 2.2602
Y 5.5271 0.0000 1.3129
Y 7.9462 0.0000 6.2163

16
Lattice="5.9355 0.0000 0.0000 0.0000 10.7672 0.0000 -2.5754 0.0000 8.3418" Properties=species:S:1:pos:R:3 comment="Tb5Pm2Y PBE-GGA relaxed" ef_mev_per_atom=176.8 de_polymorph_mev_per_atom=161 mass_density_g_cm3=7.31 m_tot_mub_per_cell=0.0 final_energy_ev_per_atom=-4.71 space_group="P2_1/m, No. 11" pbc="T T T"
Tb 0.2720 0.9450 3.0985
Tb 0.2720 4.4387 3.0985
Tb 0.3407 8.0754 3.7241
Tb -0.2608 0.9048 6.3400
Tb -0.2608 4.4788 6.3400
Tb 3.6208 6.2884 2.0017
Tb 3.6208 9.8625 2.0017
Tb 3.0193 2.6918 4.6176
Tb 3.0880 6.3286 5.2433
Tb 3.0880 9.8223 5.2433
Pm 0.8495 6.5255 0.4225
Pm 0.8495 9.6253 0.4225
Pm 2.5105 1.1419 7.9192
Pm 2.5105 4.2417 7.9192
Y 2.3466 2.6918 1.0441
Y 1.0134 8.0754 7.2977

11
Lattice="8.4433 -4.0666 0.0000 8.4433 4.0666 0.0000 -1.8302 0.0000 5.2575" Properties=species:S:1:pos:R:3 comment="Tb8PmY2 PBE-GGA relaxed" ef_mev_per_atom=115.1 de_polymorph_mev_per_atom=0 mass_density_g_cm3=7.33 m_tot_mub_per_cell=0.0 final_energy_ev_per_atom=-4.86 space_group="C2/m, No. 12" pbc="T T T"
Tb 5.4647 2.3919 1.9084
Tb 8.4433 2.3906 0.0000
Tb 4.1482 0.0000 4.3958
Tb 9.5917 2.3919 3.3491
Tb 5.4647 -2.3919 1.9084
Tb 10.9082 0.0000 0.8617
Tb 8.4433 -2.3906 0.0000
Tb 9.5917 -2.3919 3.3491
Pm 7.5282 0.0000 2.6287
Y 3.0175 0.0000 1.0525
Y 12.0389 0.0000 4.2050

15
Lattice="-6.1310 6.1310 3.8783 6.1310 -6.1310 3.8783 6.1310 6.1310 -3.8783" Properties=species:S:1:pos:R:3 comment="TbPm4Y10 PBE-GGA relaxed" ef_mev_per_atom=754.2 mass_density_g_cm3=4.64 m_tot_mub_per_cell=0.0 final_energy_ev_per_atom=-5.13 space_group="I4/m, No. 87" pbc="T T T"
Tb 0.0000 0.0000 0.0000
Pm 4.8981 2.4638 0.0000
Pm 3.6672 -1.2329 3.8783
Pm 2.4638 7.3639 0.0000
Pm 1.2329 3.6672 3.8783
Y 7.3460 3.6867 -1.9493
Y 3.6867 4.9161 -1.9493
Y 6.1310 0.0000 1.9392
Y 2.4443 1.2150 1.9290
Y -1.2150 2.4443 1.9290
Y 7.3460 3.6867 1.9493
Y 3.6867 4.9161 1.9493
Y 0.0000 6.1310 1.9392
Y 2.4443 1.2150 5.8276
Y -1.2150 2.4443 5.8276

18
Lattice="-7.5059 5.8949 3.4102 7.5059 -5.8949 3.4102 7.5059 5.8949 -3.4102" Properties=species:S:1:pos:R:3 comment="Tb2Pm2Y5 PBE-GGA relaxed" ef_mev_per_atom=223.8 de_polymorph_mev_per_atom=205 mass_density_g_cm3=5.79 m_tot_mub_per_cell=0.0 final_energy_ev_per_atom=-5.45 space_group="Ima2, No. 46" pbc="T T T"
Tb 0.0000 0.0000 0.0000
Tb 7.5059 0.0000 0.0000
Tb 3.7530 5.7521 2.7041
Tb -3.7530 6.0377 2.7041
Pm 1.9155 -0.0434 3.0708
Pm 5.5905 -0.0434 3.0708
Pm 1.9155 5.9383 -0.3393
Pm 5.5905 5.9383 -0.3393
Y 8.2953 2.8750 -1.3439
Y 6.7165 -3.0199 2.0662
Y 11.2589 2.9403 0.7009
Y 2.1496 2.7843 0.8360
Y 5.3563 2.7843 0.8360
Y -0.7894 3.0199 2.0662
Y 8.2953 3.0199 2.0662
Y -3.7530 2.9545 4.1110
Y 2.1496 3.1106 4.2462
Y 5.3563 3.1106 4.2462

11
Lattice="6.9081 0.0000 0.0000 2.1135 6.6265 0.0000 1.9732 1.4555 8.0308" Properties=species:S:1:pos:R:3 comment="Tb5PmY5 PBE-GGA relaxed" ef_mev_per_atom=145.1 de_polymorph_mev_per_atom=0 mass_density_g_cm3=6.25 m_tot_mub_per_cell=0.0 final_energy_ev_per_atom=-5.33 space_group="P-1, No. 2" pbc="T T T"
Tb 0.0000 0.0000 0.0000
Tb 3.1137 4.7195 2.8771
Tb 4.3794 2.7049 5.7848
Tb 6.6154 5.3771 2.2460
Tb 7.8811 3.3624 5.1537
Pm 1.0567 3.3132 0.0000
Y 2.3581 1.3694 2.4726
Y 5.1604 6.0651 5.2211
Y 4.5108 3.3132 0.0000
Y 5.8343 2.0168 2.8097
Y 8.6366 6.7125 5.5582

30
Lattice="6.4196 0.0000 0.0000 0.0000 6.4196 0.0000 0.0000 0.0000 25.0667" Properties=species:S:1:pos:R:3 comment="Tb12PmY2 PBE-GGA relaxed" ef_mev_per_atom=311.8 mass_density_g_cm3=7.17 m_tot_mub_per_cell=0.0 final_energy_ev_per_atom=-4.57 space_group="P4/nbm, No. 125" pbc="T T T"
Tb 0.4257 3.6355 2.9367
Tb 0.4257 5.9939 22.1300
Tb 0.5250 3.7348 11.0014
Tb 0.5250 5.8946 14.0653
Tb 1.6049 1.6049 5.4298
Tb 1.6049 1.6049 8.5163
Tb 1.6049 1.6049 16.5504
Tb 1.6049 1.6049 19.6369
Tb 2.6848 3.7348 14.0653
Tb 2.6848 5.8946 11.0014
Tb 2.7841 3.6355 22.1300
Tb 2.7841 5.9939 2.9367
Tb 3.6355 0.4257 22.1300
Tb 3.6355 2.7841 2.9367
Tb 3.7348 0.5250 14.0653
Tb 3.7348 2.6848 11.0014
Tb 4.8147 4.8147 5.4298
Tb 4.8147 4.8147 8.5163
Tb 4.8147 4.8147 16.5504
Tb 4.8147 4.8147 19.6369
Tb 5.8946 0.5250 11.0014
Tb 5.8946 2.6848 14.0653
Tb 5.9939 0.4257 2.9367
Tb 5.9939 2.7841 22.1300
Pm 1.6049 4.8147 0.0000
Pm 4.8147 1.6049 0.0000
Y 1.6049 4.8147 6.8949
Y 1.6049 4.8147 18.1718
Y 4.8147 1.6049 6.8949
Y 4.8147 1.6049 18.1718

20
Lattice="5.3641 -8.1107 0.0000 5.3641 8.1107 0.0000 -5.3638 0.0000 7.6569" Properties=species:S:1:pos:R:3 comment="Tb3Pm2Y5 PBE-GGA relaxed" ef_mev_per_atom=184.4 de_polymorph_mev_per_atom=0 mass_density_g_cm3=6.04 m_tot_mub_per_cell=0.0 final_energy_ev_per_atom=-5.39 space_group="C2/c, No. 15" pbc="T T T"
Tb 1.3412 7.7114 5.7426
Tb 1.3110 1.9967 3.4506
Tb -1.3709 -1.9967 7.2790
Tb 6.7352 1.9967 0.3779
Tb 4.0533 -1.9967 4.2063
Tb 4.0231 -7.7114 1.9142
Pm 1.3105 2.0231 0.3408
Pm -1.3714 -2.0231 4.1692
Pm 6.7357 2.0231 3.4876
Pm 4.0538 -2.0231 7.3161
Y -1.3224 1.9768 5.8204
Y 1.3412 4.4126 5.7426
Y 4.0231 3.6598 1.9142
Y 1.3595 -1.9768 1.9920
Y 4.0231 0.4200 1.9142
Y 1.3412 -0.4200 5.7426
Y 4.0048 1.9768 5.6648
Y 1.3412 -3.6598 5.7426
Y 4.0231 -4.4126 1.9142
Y 6.6867 -1.9768 1.8364